Crystalline SrMg6TiO8 at its relaxed geometry, computed with GGA-PBE.

abc: 4.4999 4.4999 8.8558
angles: 90.00 90.00 90.00
Space group P4/mmm (No. 123)
Unique sites:
Sr1 0.0000 0.0000 0.0000 [1 per cell]
Mg1 0.0000 0.5000 0.2582 [4 per cell]
Mg2 0.5000 0.5000 0.0000 [1 per cell]
Mg3 0.5000 0.5000 0.5000 [1 per cell]
Ti1 0.0000 0.0000 0.5000 [1 per cell]
O1 0.0000 0.0000 0.2686 [2 per cell]
O2 0.0000 0.5000 0.0000 [2 per cell]
O3 0.0000 0.5000 0.5000 [2 per cell]
O4 0.5000 0.5000 0.2527 [2 per cell]

Output
Excess energy over the best structure of this formula in the dataset in eV/atom: 0.0269